# Y6AlSi2 (GGA-PBE, relaxed)
data_Y6AlSi2
_chemical_formula_sum 'Y12 Al2 Si4'
_cell_length_a 8.477
_cell_length_b 8.477
_cell_length_c 8.477
_cell_angle_alpha 105.74
_cell_angle_beta 110.96
_cell_angle_gamma 111.78
_space_group_name_H-M_alt 'P 1'
_space_group_IT_number 1
loop_
_space_group_symop_operation_xyz
'x,y,z'
loop_
_atom_site_label
_atom_site_type_symbol
_atom_site_fract_x
_atom_site_fract_y
_atom_site_fract_z
_atom_site_occupancy
Y1 Y 0.546 0.728 0.818 1
Y2 Y 0.454 0.272 0.182 1
Y3 Y 0.091 0.272 0.818 1
Y4 Y 0.909 0.728 0.182 1
Y5 Y 0.801 0.757 0.558 1
Y6 Y 0.199 0.243 0.442 1
Y7 Y 0.199 0.757 0.956 1
Y8 Y 0.801 0.243 0.044 1
Y9 Y 0.705 0.382 0.678 1
Y10 Y 0.295 0.618 0.322 1
Y11 Y 0.295 0.973 0.678 1
Y12 Y 0.705 0.027 0.322 1
Al1 Al 0.000 0.500 0.500 1
Al2 Al 0.000 0.000 0.000 1
Si1 Si 0.500 0.384 0.884 1
Si2 Si 0.500 0.616 0.116 1
Si3 Si 0.635 0.000 0.635 1
Si4 Si 0.365 0.000 0.365 1
# Fermi-level density of states ... 0.835 states/eV per atom
# Energy relative to the elements, uncorrected ... -535 meV per atom
# Calculated volume ... 467.4 Å³/cell
# Symmetry ... No. 71
# Uncorrected energy ... -6.4658 eV/atom